A geometry-optimized Zn2PRu structure, computed with GGA-PBE.

Properties
The energy relative to the elements is 0.12 eV/atom. As for the space group: Cmm2, No. 35. As for the density of states at the Fermi level: 2.581 states/eV/f.u.

abc: 2.853 2.853 8.449
angles: 90.00 90.00 117.38
Fractional coordinates of all 4 atoms:
Zn 0.000 0.000 0.000
Zn 0.500 0.500 0.263
P 0.000 0.000 0.540
Ru 0.500 0.500 0.743